Density functional theory data (PBE-GGA) for a relaxed structure of Ca2PmNdS4.

Summary:
For the density of states at the Fermi level, the calculation gives 3.2 states/eV/cell. The value obtained for the theoretical density is 4.430 g/cm³. Its uncorrected formation energy is -2.060 eV per atom.

abc: 4.014 6.943 7.083
angles: 109.11 90.00 90.00
Element x y z (fractional)
Ca 0.500 0.000 0.500
Ca 0.000 0.500 0.500
Pm 0.500 0.500 0.000
Nd 0.000 0.000 0.000
S 0.500 0.254 0.256
S 0.500 0.746 0.744
S 0.000 0.250 0.745
S 0.000 0.750 0.255